<one>
Entry from the Open Quantum Materials Database: BeMo2 after structural relaxation (PBE-GGA).

a b c (Å): 7.260 7.260 7.260
angles (deg): 90.00 90.00 90.00
Space group Fd-3m (No. 227, origin choice 2)
Inequivalent atoms, fractional coordinates:
Be1 0.125 0.125 0.125 (multiplicity 8)
Mo1 0.000 0.000 0.500 (multiplicity 16)


<two>
Entry from the Open Quantum Materials Database: BeMo2 after structural relaxation (PBE-GGA).

a b c (Å): 10.034 10.034 10.034
angles (deg): 90.00 90.00 90.00
Space group Fd-3m (No. 227, origin choice 2)
Inequivalent atoms, fractional coordinates:
Be1 0.125 0.125 0.125 (multiplicity 8)
Mo1 0.000 0.000 0.000 (multiplicity 16)


Relative to the most stable structure, the computed energies are <one> 0; <two> 2661, all in meV/atom.


<one>
Entry from the Open Quantum Materials Database: TaBeNbMo after structural relaxation (PBE-GGA).

a b c (Å): 6.294 6.294 6.294
angles (deg): 90.00 90.00 90.00
Space group F-43m (No. 216)
Inequivalent atoms, fractional coordinates:
Ta1 0.000 0.000 0.000 (multiplicity 4)
Be1 0.250 0.250 0.250 (multiplicity 4)
Nb1 0.250 0.250 0.750 (multiplicity 4)
Mo1 0.000 0.000 0.500 (multiplicity 4)


<two>
Entry from the Open Quantum Materials Database: TaBeNbMo after structural relaxation (PBE-GGA).

a b c (Å): 6.312 6.312 6.312
angles (deg): 90.00 90.00 90.00
Space group F-43m (No. 216)
Inequivalent atoms, fractional coordinates:
Ta1 0.000 0.000 0.000 (multiplicity 4)
Be1 0.250 0.250 0.250 (multiplicity 4)
Nb1 0.000 0.000 0.500 (multiplicity 4)
Mo1 0.250 0.250 0.750 (multiplicity 4)


Relative to the most stable structure, the computed energies are <one> 132; <two> 0, all in meV/atom.


<one>
Entry from the Open Quantum Materials Database: BeSiNiMo after structural relaxation (PBE-GGA).

a b c (Å): 5.743 5.743 5.743
angles (deg): 90.00 90.00 90.00
Space group F-43m (No. 216)
Inequivalent atoms, fractional coordinates:
Be1 0.000 0.000 0.000 (multiplicity 4)
Si1 0.250 0.250 0.250 (multiplicity 4)
Ni1 0.000 0.000 0.500 (multiplicity 4)
Mo1 0.250 0.250 0.750 (multiplicity 4)


<two>
Entry from the Open Quantum Materials Database: BeSiNiMo after structural relaxation (PBE-GGA).

a b c (Å): 5.712 5.712 5.712
angles (deg): 90.00 90.00 90.00
Space group F-43m (No. 216)
Inequivalent atoms, fractional coordinates:
Be1 0.000 0.000 0.000 (multiplicity 4)
Si1 0.000 0.000 0.500 (multiplicity 4)
Ni1 0.250 0.250 0.750 (multiplicity 4)
Mo1 0.250 0.250 0.250 (multiplicity 4)


Relative to the most stable structure, the computed energies are <one> 323; <two> 0, all in meV/atom.


<one>
Entry from the Open Quantum Materials Database: PrBeMo after structural relaxation (PBE-GGA).

a b c (Å): 6.235 6.235 6.235
angles (deg): 90.00 90.00 90.00
Space group F-43m (No. 216)
Inequivalent atoms, fractional coordinates:
Pr1 0.000 0.000 0.000 (multiplicity 4)
Be1 0.250 0.250 0.750 (multiplicity 4)
Mo1 0.000 0.000 0.500 (multiplicity 4)


<two>
Entry from the Open Quantum Materials Database: PrBeMo after structural relaxation (PBE-GGA).

a b c (Å): 6.436 6.436 6.436
angles (deg): 90.00 90.00 90.00
Space group F-43m (No. 216)
Inequivalent atoms, fractional coordinates:
Pr1 0.000 0.000 0.000 (multiplicity 4)
Be1 0.250 0.250 0.750 (multiplicity 4)
Mo1 0.250 0.250 0.250 (multiplicity 4)


Relative to the most stable structure, the computed energies are <one> 0; <two> 901, all in meV/atom.